5
Lattice="5.758 0.000 0.000 0.000 5.758 0.000 0.000 0.000 6.406" Properties=species:S:1:pos:R:3 comment="YSbTeI2 (PBE, optimized geometry)" de_polymorph_mev_per_atom=132 dos_at_fermi_per_ev_atom=0.876 magmom_total_mub_per_fu=0.4 e_form_raw_mev_per_atom=-197.5 pbc="T T T"
Y 0.000 0.000 0.000
Sb 0.000 0.000 3.203
Te 2.879 2.879 3.203
I 0.000 2.879 0.000
I 2.879 0.000 0.000